Record 1
6
Lattice="-1.992 1.992 7.762 1.992 -1.992 7.762 1.992 1.992 -7.762" Properties=species:S:1:pos:R:3 comment="LaPmCu4 | Alexandria via LeMat-Bulk | GGA-PBE | optimized geometry" delta_e_f_ev_per_atom=-0.20 e_above_lowest_polymorph_ev_per_atom=0.000 total_energy_ev_per_cell=-27.29 pbc="T T T"
La 0.000 0.000 0.000
Pm 1.992 0.000 3.881
Cu 0.000 0.000 6.493
Cu 0.000 0.000 9.030
Cu 0.000 1.992 2.652
Cu 0.000 1.992 5.110


Record 2
5
Lattice="4.840 0.000 0.000 0.000 4.840 0.000 0.000 0.000 4.840" Properties=species:S:1:pos:R:3 comment="BeCd3Sb | Alexandria via LeMat-Bulk | GGA-PBE | optimized geometry" formation_energy_uncorrected_ev_per_atom=0.385 e_above_lowest_polymorph_ev_per_atom=0.000 total_energy_ev_per_cell=-8.67 pbc="T T T"
Be 0.000 0.000 0.000
Cd 0.000 0.000 2.420
Cd 0.000 2.420 0.000
Cd 2.420 0.000 0.000
Sb 2.420 2.420 2.420


Record 3
6
Lattice="0.000 4.231 4.231 4.231 0.000 4.231 4.231 4.231 0.000" Properties=species:S:1:pos:R:3 comment="Y4MnRe | Alexandria via LeMat-Bulk | GGA-PBE | optimized geometry" delta_e_f_ev_per_atom=1.08 total_energy_ev_per_cell=-40.97 pbc="T T T"
Y 3.182 3.182 3.182
Y 5.281 5.281 3.182
Y 5.281 3.182 5.281
Y 3.182 5.281 5.281
Mn 0.000 0.000 0.000
Re 6.347 6.347 6.347


Record 4
6
Lattice="0.000 4.896 4.896 4.896 0.000 4.896 4.896 4.896 0.000" Properties=species:S:1:pos:R:3 comment="SrLaPm4 | Alexandria via LeMat-Bulk | GGA-PBE | optimized geometry" delta_e_f_ev_per_atom=0.22 total_energy_ev_per_cell=-24.30 pbc="T T T"
Sr 0.000 0.000 0.000
La 7.343 7.343 7.343
Pm 3.696 3.696 3.696
Pm 6.095 6.095 3.696
Pm 6.095 3.696 6.095
Pm 3.696 6.095 6.095


Question: Number 1 is which compound?
Answer: LaPmCu4


Repeat the first record exactly.
6
Lattice="-1.992 1.992 7.762 1.992 -1.992 7.762 1.992 1.992 -7.762" Properties=species:S:1:pos:R:3 comment="LaPmCu4 | Alexandria via LeMat-Bulk | GGA-PBE | optimized geometry" delta_e_f_ev_per_atom=-0.20 e_above_lowest_polymorph_ev_per_atom=0.000 total_energy_ev_per_cell=-27.29 pbc="T T T"
La 0.000 0.000 0.000
Pm 1.992 0.000 3.881
Cu 0.000 0.000 6.493
Cu 0.000 0.000 9.030
Cu 0.000 1.992 2.652
Cu 0.000 1.992 5.110